This record from Alexandria via LeMat-Bulk describes a PBEsol-optimized structure of MgCu2Au. The functional is SCAN.

abc: 3.845 3.845 4.676
angles: 114.28 114.28 90.00
Element x y z (fractional)
Mg: 0.000 0.000 0.000
Au: 0.500 0.500 0.000
Cu: 0.750 0.250 0.500
Cu: 0.250 0.750 0.500

## Properties
Symmetry: I4/mmm (139)
V (Å³ per cell): 56.2
ΔH_f (0 K) (eV per atom): -0.282
Density (Mg/m³): 10.29